[1]
An optimized crystal structure of Ce3AlH2. Source: the Alexandria database, functional PBE.

Cell: 6.598 6.598 5.194 Å, 90.00 90.00 96.70°
Atoms (fractional coordinates):
Ce 0.152 0.848 0.750
Ce 0.170 0.431 0.750
Ce 0.431 0.170 0.250
Ce 0.569 0.830 0.750
Ce 0.830 0.569 0.250
Ce 0.848 0.152 0.250
Al 0.339 0.661 0.250
Al 0.661 0.339 0.750
H 0.140 0.140 0.000
H 0.140 0.140 0.500
H 0.860 0.860 0.000
H 0.860 0.860 0.500

Values from the calculation:
**DOS(E_F)**: 21.92 states/eV per cell
**Space group**: Cmcm (63)
**Electronic total energy**: -60.28 eV per cell
**Volume**: 224.56 Å³ per cell

***

[2]
An optimized crystal structure of PmY2Zr. Source: the Alexandria database, functional PBE.

Cell: 4.035 4.035 7.426 Å, 90.00 90.00 90.00°
Atoms (fractional coordinates):
Pm 0.000 0.000 0.000
Y 0.500 0.500 0.279
Y 0.500 0.500 0.721
Zr 0.000 0.000 0.500

Values from the calculation:
**DOS(E_F)**: 8.74 states/eV per cell
**Space group**: P4/mmm (123)
**Energy relative to the elements**: 180 meV/atom
**Electronic total energy**: -25.51 eV per cell
**Volume**: 120.89 Å³ per cell